No. 1
The following is a GGA-PBE calculation of crystalline VCoHIr2 at its relaxed geometry, from Alexandria.

Geometry as POSCAR:
```
VCoHIr2
1.0
3.830 0.000 0.000
0.000 3.830 0.000
0.000 0.000 3.781
V Co H Ir
1 1 1 2
Direct
0.000 0.000 0.000
0.500 0.500 0.000
0.000 0.000 0.500
0.000 0.500 0.500
0.500 0.000 0.500
```

Summary:
As for the symmetry: P4/mmm, No. 123. The energy relative to the lowest polymorph listed for this composition is 0.28 eV/f.u.

=====

No. 2
The following is a GGA-PBE calculation of crystalline VCoHIr2 at its relaxed geometry, from Alexandria.

Geometry as POSCAR:
```
VCoHIr2
1.0
3.872 0.000 0.000
0.000 3.872 0.000
0.000 0.000 3.675
V Co H Ir
1 1 1 2
Direct
0.000 0.000 0.000
0.500 0.500 0.000
0.500 0.500 0.500
0.000 0.500 0.500
0.500 0.000 0.500
```

Summary:
As for the symmetry: P4/mmm, No. 123. The energy relative to the lowest polymorph listed for this composition is 0.00 eV/f.u.

=====

No. 3
The following is a GGA-PBE calculation of crystalline VCo2HIr at its relaxed geometry, from Alexandria.

Geometry as POSCAR:
```
VCo2HIr
1.0
3.675 0.000 0.000
0.000 3.675 0.000
0.000 0.000 3.761
V Co H Ir
1 2 1 1
Direct
0.000 0.000 0.000
0.000 0.500 0.500
0.500 0.000 0.500
0.500 0.500 0.500
0.500 0.500 0.000
```

Summary:
As for the symmetry: P4/mmm, No. 123. The energy relative to the lowest polymorph listed for this composition is 0.18 eV/f.u.

=====

No. 4
The following is a GGA-PBE calculation of crystalline VCo2HIr at its relaxed geometry, from Alexandria.

Geometry as POSCAR:
```
VCo2HIr
1.0
3.624 0.000 0.000
0.000 3.624 0.000
0.000 0.000 3.806
V Co H Ir
1 2 1 1
Direct
0.000 0.000 0.000
0.000 0.500 0.500
0.500 0.000 0.500
0.000 0.000 0.500
0.500 0.500 0.000
```

Summary:
As for the symmetry: P4/mmm, No. 123. The energy relative to the lowest polymorph listed for this composition is 0.00 eV/f.u.

=====

No. 5
The following is a GGA-PBE calculation of crystalline Co2HIrW at its relaxed geometry, from Alexandria.

Geometry as POSCAR:
```
Co2HIrW
1.0
3.775 0.000 0.000
0.000 3.775 0.000
0.000 0.000 3.745
Co H Ir W
2 1 1 1
Direct
0.000 0.500 0.000
0.500 0.000 0.000
0.000 0.000 0.000
0.000 0.000 0.500
0.500 0.500 0.500
```

Summary:
As for the symmetry: P4/mmm, No. 123. The energy relative to the lowest polymorph listed for this composition is 0.00 eV/f.u.

=====

No. 6
The following is a GGA-PBE calculation of crystalline CoHIrW2 at its relaxed geometry, from Alexandria.

Geometry as POSCAR:
```
CoHIrW2
1.0
3.918 0.000 0.000
0.000 3.918 0.000
0.000 0.000 3.852
Co H Ir W
1 1 1 2
Direct
0.000 0.000 0.000
0.000 0.000 0.500
0.500 0.500 0.000
0.000 0.500 0.500
0.500 0.000 0.500
```

Summary:
As for the symmetry: P4/mmm, No. 123.

=====

No. 7
The following is a GGA-PBE calculation of crystalline Co2HIrW at its relaxed geometry, from Alexandria.

Geometry as POSCAR:
```
Co2HIrW
1.0
3.730 0.000 0.000
0.000 3.730 0.000
0.000 0.000 3.858
Co H Ir W
2 1 1 1
Direct
0.000 0.500 0.000
0.500 0.000 0.000
0.000 0.000 0.000
0.500 0.500 0.500
0.000 0.000 0.500
```

Summary:
As for the symmetry: P4/mmm, No. 123. The energy relative to the lowest polymorph listed for this composition is 0.02 eV/f.u.

=====

No. 8
The following is a GGA-PBE calculation of crystalline Y2CoHIr at its relaxed geometry, from Alexandria.

Geometry as POSCAR:
```
Y2CoHIr
1.0
4.860 0.000 0.000
0.000 4.860 0.000
0.000 0.000 3.413
Y Co H Ir
2 1 1 1
Direct
0.000 0.500 0.000
0.500 0.000 0.000
0.000 0.000 0.500
0.000 0.000 0.000
0.500 0.500 0.500
```

Summary:
As for the symmetry: P4/mmm, No. 123. The energy relative to the lowest polymorph listed for this composition is 0.00 eV/f.u.

=====

No. 9
The following is a GGA-PBE calculation of crystalline Y2CoHIr at its relaxed geometry, from Alexandria.

Geometry as POSCAR:
```
Y2CoHIr
1.0
4.873 0.000 0.000
0.000 4.873 0.000
0.000 0.000 3.536
Y Co H Ir
2 1 1 1
Direct
0.000 0.500 0.000
0.500 0.000 0.000
0.000 0.000 0.500
0.500 0.500 0.000
0.500 0.500 0.500
```

Summary:
As for the symmetry: P4/mmm, No. 123. The energy relative to the lowest polymorph listed for this composition is 0.48 eV/f.u.

=====

No. 10
The following is a GGA-PBE calculation of crystalline ZnCo2HIr at its relaxed geometry, from Alexandria.

Geometry as POSCAR:
```
ZnCo2HIr
1.0
3.631 0.000 0.000
0.000 3.631 0.000
0.000 0.000 3.956
Zn Co H Ir
1 2 1 1
Direct
0.000 0.000 0.000
0.000 0.500 0.500
0.500 0.000 0.500
0.000 0.000 0.500
0.500 0.500 0.000
```

Summary:
As for the symmetry: P4/mmm, No. 123. The energy relative to the lowest polymorph listed for this composition is 0.47 eV/f.u.

=====

No. 11
The following is a GGA-PBE calculation of crystalline ZnCoHIr2 at its relaxed geometry, from Alexandria.

Geometry as POSCAR:
```
ZnCoHIr2
1.0
3.926 0.000 0.000
0.000 3.926 0.000
0.000 0.000 3.642
Zn Co H Ir
1 1 1 2
Direct
0.000 0.000 0.000
0.500 0.500 0.000
0.500 0.500 0.500
0.000 0.500 0.500
0.500 0.000 0.500
```

Summary:
As for the symmetry: P4/mmm, No. 123.

=====

No. 12
The following is a GGA-PBE calculation of crystalline ZnCo2HIr at its relaxed geometry, from Alexandria.

Geometry as POSCAR:
```
ZnCo2HIr
1.0
3.720 0.000 0.000
0.000 3.720 0.000
0.000 0.000 3.836
Zn Co H Ir
1 2 1 1
Direct
0.000 0.000 0.000
0.000 0.500 0.500
0.500 0.000 0.500
0.500 0.500 0.500
0.500 0.500 0.000
```

Summary:
As for the symmetry: P4/mmm, No. 123. The energy relative to the lowest polymorph listed for this composition is 0.00 eV/f.u.

=====

No. 13
The following is a GGA-PBE calculation of crystalline ZrCoHIr2 at its relaxed geometry, from Alexandria.

Geometry as POSCAR:
```
ZrCoHIr2
1.0
3.987 0.000 0.000
0.000 3.987 0.000
0.000 0.000 3.898
Zr Co H Ir
1 1 1 2
Direct
0.000 0.000 0.000
0.500 0.500 0.000
0.500 0.500 0.500
0.000 0.500 0.500
0.500 0.000 0.500
```

Summary:
As for the symmetry: P4/mmm, No. 123.

=====

No. 14
The following is a GGA-PBE calculation of crystalline KCo2H at its relaxed geometry, from Alexandria.

Geometry as POSCAR:
```
KCo2H
1.0
0.000 3.101 3.101
3.101 0.000 3.101
3.101 3.101 0.000
K Co H
1 2 1
Direct
0.000 0.000 0.000
0.250 0.250 0.250
0.750 0.750 0.750
0.500 0.500 0.500
```

Summary:
As for the symmetry: Fm-3m, No. 225. The energy relative to the lowest polymorph listed for this composition is 5.07 eV/f.u.

=====

No. 15
The following is a GGA-PBE calculation of crystalline KCo3H at its relaxed geometry, from Alexandria.

Geometry as POSCAR:
```
KCo3H
1.0
4.691 0.000 0.000
0.000 4.691 0.000
0.000 0.000 4.691
K Co H
1 3 1
Direct
0.000 0.000 0.000
0.000 0.000 0.500
0.000 0.500 0.000
0.500 0.000 0.000
0.500 0.500 0.500
```

Summary:
As for the symmetry: Pm-3m, No. 221. The energy relative to the lowest polymorph listed for this composition is 9.52 eV/f.u.

=====

No. 16
The following is a GGA-PBE calculation of crystalline K2CoH at its relaxed geometry, from Alexandria.

Geometry as POSCAR:
```
K2CoH
1.0
0.000 3.904 3.904
3.904 0.000 3.904
3.904 3.904 0.000
K Co H
2 1 1
Direct
0.250 0.250 0.250
0.750 0.750 0.750
0.000 0.000 0.000
0.500 0.500 0.500
```

Summary:
As for the symmetry: Fm-3m, No. 225. The energy relative to the lowest polymorph listed for this composition is 0.37 eV/f.u.

=====

No. 17
The following is a GGA-PBE calculation of crystalline K2CoH at its relaxed geometry, from Alexandria.

Geometry as POSCAR:
```
K2CoH
1.0
-3.956 3.956 4.254
3.956 -3.956 4.254
3.956 3.956 -4.254
K Co H
4 2 2
Direct
0.042 0.625 0.917
0.375 0.292 0.417
0.708 0.125 0.083
0.875 0.958 0.583
0.250 0.750 0.500
0.500 0.500 0.000
0.000 0.000 0.000
0.750 0.250 0.500
```

Summary:
As for the symmetry: I-42d, No. 122. The energy relative to the lowest polymorph listed for this composition is 0.00 eV/f.u.

=====

No. 18
The following is a GGA-PBE calculation of crystalline KCoH4 at its relaxed geometry, from Alexandria.

Geometry as POSCAR:
```
KCoH4
1.0
2.808 -5.766 0.000
2.808 5.766 0.000
-0.389 0.000 4.470
K Co H
2 2 8
Direct
0.147 0.853 0.750
0.853 0.147 0.250
0.458 0.542 0.750
0.542 0.458 0.250
0.252 0.535 0.577
0.282 0.352 0.003
0.352 0.282 0.503
0.465 0.748 0.923
0.535 0.252 0.077
0.648 0.718 0.497
0.718 0.648 0.997
0.748 0.465 0.423
```

Summary:
As for the symmetry: C2/c, No. 15.

=====

No. 19
The following is a GGA-PBE calculation of crystalline K3Co5H12 at its relaxed geometry, from Alexandria.

Geometry as POSCAR:
```
K3Co5H12
1.0
-5.830 5.830 5.830
5.830 -5.830 5.830
5.830 5.830 -5.830
K Co H
12 20 48
Direct
0.125 0.250 0.375
0.125 0.375 0.750
0.250 0.375 0.125
0.250 0.875 0.625
0.375 0.125 0.250
0.375 0.750 0.125
0.625 0.250 0.875
0.625 0.875 0.750
0.750 0.125 0.375
0.750 0.625 0.875
0.875 0.625 0.250
0.875 0.750 0.625
0.000 0.000 0.000
0.000 0.000 0.500
0.000 0.500 0.000
0.000 0.500 0.500
0.125 0.750 0.875
0.125 0.875 0.250
0.250 0.125 0.875
0.250 0.625 0.375
0.375 0.250 0.625
0.375 0.625 0.750
0.500 0.000 0.000
0.500 0.000 0.500
0.500 0.500 0.000
0.500 0.500 0.500
0.625 0.375 0.250
0.625 0.750 0.375
0.750 0.375 0.625
0.750 0.875 0.125
0.875 0.125 0.750
0.875 0.250 0.125
0.009 0.673 0.096
0.009 0.836 0.912
0.076 0.664 0.673
0.076 0.912 0.404
0.088 0.596 0.924
0.088 0.991 0.164
0.096 0.009 0.673
0.096 0.588 0.424
0.164 0.088 0.991
0.164 0.576 0.173
0.173 0.164 0.576
0.173 0.509 0.596
0.327 0.904 0.991
0.327 0.924 0.336
0.336 0.327 0.924
0.336 0.509 0.412
0.404 0.076 0.912
0.404 0.827 0.491
0.412 0.336 0.509
0.412 0.576 0.904
0.424 0.096 0.588
0.424 0.827 0.836
0.491 0.404 0.827
0.491 0.588 0.664
0.509 0.412 0.336
0.509 0.596 0.173
0.576 0.173 0.164
0.576 0.904 0.412
0.588 0.424 0.096
0.588 0.664 0.491
0.596 0.173 0.509
0.596 0.924 0.088
0.664 0.491 0.588
0.664 0.673 0.076
0.673 0.076 0.664
0.673 0.096 0.009
0.827 0.491 0.404
0.827 0.836 0.424
0.836 0.424 0.827
0.836 0.912 0.009
0.904 0.412 0.576
0.904 0.991 0.327
0.912 0.009 0.836
0.912 0.404 0.076
0.924 0.088 0.596
0.924 0.336 0.327
0.991 0.164 0.088
0.991 0.327 0.904
```

Summary:
As for the symmetry: Ia-3d, No. 230.

=====

No. 20
The following is a GGA-PBE calculation of crystalline KCo3H at its relaxed geometry, from Alexandria.

Geometry as POSCAR:
```
KCo3H
1.0
3.977 0.000 0.000
0.000 3.977 0.000
0.000 0.000 3.977
K Co H
1 3 1
Direct
0.000 0.000 0.000
0.000 0.500 0.500
0.500 0.000 0.500
0.500 0.500 0.000
0.500 0.500 0.500
```

Summary:
As for the symmetry: Pm-3m, No. 221. The energy relative to the lowest polymorph listed for this composition is 0.00 eV/f.u.

=====

No. 21
The following is a GGA-PBE calculation of crystalline KCoH3 at its relaxed geometry, from Alexandria.

Geometry as POSCAR:
```
KCoH3
1.0
2.708 1.564 4.266
-2.708 1.564 4.266
0.000 -3.127 4.266
K Co H
2 2 6
Direct
0.000 0.000 0.000
0.230 0.230 0.230
0.562 0.562 0.562
0.754 0.754 0.754
0.159 0.662 0.662
0.537 0.537 0.884
0.537 0.884 0.537
0.662 0.159 0.662
0.662 0.662 0.159
0.884 0.537 0.537
```

Summary:
As for the symmetry: R3m, No. 160.

=====

No. 22
The following is a GGA-PBE calculation of crystalline KCo2H at its relaxed geometry, from Alexandria.

Geometry as POSCAR:
```
KCo2H
1.0
0.000 3.861 3.861
3.861 0.000 3.861
3.861 3.861 0.000
K Co H
2 4 2
Direct
0.125 0.125 0.125
0.875 0.875 0.875
0.000 0.500 0.500
0.500 0.000 0.500
0.500 0.500 0.000
0.500 0.500 0.500
0.375 0.375 0.375
0.625 0.625 0.625
```

Summary:
As for the symmetry: Fd-3m, No. 227. The energy relative to the lowest polymorph listed for this composition is 0.00 eV/f.u.

=====

No. 23
The following is a GGA-PBE calculation of crystalline K3CoH at its relaxed geometry, from Alexandria.

Geometry as POSCAR:
```
K3CoH
1.0
5.424 0.000 0.000
0.000 5.424 0.000
0.000 0.000 5.424
K Co H
3 1 1
Direct
0.000 0.000 0.500
0.000 0.500 0.000
0.500 0.000 0.000
0.500 0.500 0.500
0.000 0.000 0.000
```

Summary:
As for the symmetry: Pm-3m, No. 221. The energy relative to the lowest polymorph listed for this composition is 0.00 eV/f.u.

=====

no.,calculated density (g/cm3),calculated volume (Å³ per atom),electronic total energy (eV/f.u.)
1,14.83,11.094,-37.930
2,14.93,11.021,-38.212
3,11.83,10.162,-36.399
4,12.02,9.999,-36.577
5,15.40,10.676,-39.413
6,17.40,11.829,-45.264
7,15.31,10.737,-39.395
8,8.86,16.125,-34.860
9,8.50,16.795,-34.383
10,11.99,10.430,-27.014
11,15.08,11.227,-29.047
12,11.78,10.616,-27.479
13,14.35,12.396,-38.905
14,4.40,14.912,-11.187
15,3.49,20.651,-10.911
16,1.93,29.750,-9.432
17,1.72,33.284,-9.803
18,2.34,12.065,-22.056
19,3.55,9.910,-74.250
20,5.73,12.579,-20.436
21,3.10,10.838,-18.001
22,4.56,14.395,-16.260
23,1.84,31.921,-10.883